This record from Alexandria describes a relaxed CeCd6Au12 crystal. The functional is PBE.

The space group is R-3m (No. 166, hexagonal axes) and the conventional cell measures 12.2465, 12.2465 and 9.5151 Å, with angles of 90.00, 90.00 and 120.00 degrees. Symmetry generates all atoms from Ce at (0.0000, 0.0000, 0.0000), Cd at (0.0711, 0.5355, 0.2388), Au at (0.0000, 0.3873, 0.5000) and Au at (0.0821, 0.1641, 0.2630).

As for the calculated formation energy: -0.15 eV/atom. As for the total energy: -0.1036 Ha/atom.



This record from Alexandria describes a relaxed CeIn4Ag2 crystal. The functional is PBE.

The space group is Pnma (No. 62) and the conventional cell measures 18.8734, 4.8022 and 7.4076 Å, with angles of 90.00, 90.00 and 90.00 degrees. Symmetry generates all atoms from Ce at (0.1395, 0.2500, 0.0169), In at (0.0354, 0.7500, 0.8466), In at (0.0695, 0.2500, 0.4867), In at (0.1846, 0.7500, 0.3181), In at (0.1894, 0.7500, 0.7279), Ag at (0.0377, 0.7500, 0.2406) and Ag at (0.2182, 0.2500, 0.5279).

As for the calculated formation energy: -0.21 eV/atom. As for the total energy: -0.1263 Ha/atom.



This record from Alexandria describes a relaxed B2NCl3 crystal. The functional is PBE.

The space group is P4_12_12 (No. 92) and the conventional cell measures 10.4839, 10.4839 and 17.4264 Å, with angles of 90.00, 90.00 and 90.00 degrees. Symmetry generates all atoms from B at (0.0085, 0.0903, 0.0621), B at (0.0989, 0.0989, 0.5000), B at (0.1141, 0.2770, 0.1274), B at (0.1944, 0.1944, 0.0000), N at (0.0003, 0.0003, 0.0000), N at (0.1058, 0.1870, 0.0629), Cl at (0.0423, 0.4272, 0.1220), Cl at (0.0736, 0.2439, 0.5470), Cl at (0.0828, 0.8961, 0.8619), Cl at (0.1858, 0.8142, 0.2500) and Cl at (0.1964, 0.2349, 0.2110).

Its formation energy (no corrections) is -6.1 eV/f.u. As for the total energy: -0.2041 Ha/atom.



This record from Alexandria describes a relaxed Ac3P2Au crystal. The functional is PBE.

The space group is Cmcm (No. 63) and the conventional cell measures 5.0807, 14.3696 and 10.7286 Å, with angles of 90.00, 90.00 and 90.00 degrees. Symmetry generates all atoms from Ac at (0.0000, 0.0986, 0.2500), Ac at (0.0000, 0.3753, 0.0520), P at (0.0000, 0.0000, 0.0000), P at (0.0000, 0.4906, 0.7500) and Au at (0.0000, 0.2393, 0.7500).

As for the calculated formation energy: -0.88 eV/atom. As for the total energy: -0.1942 Ha/atom.



This record from Alexandria describes a relaxed In3PdAu crystal. The functional is PBE.

The space group is Pm-3m (No. 221) and the conventional cell measures 5.1486, 5.1486 and 5.1486 Å, with angles of 90.00, 90.00 and 90.00 degrees. Symmetry generates all atoms from In at (0.0000, 0.0000, 0.5000), Pd at (0.0000, 0.0000, 0.0000) and Au at (0.5000, 0.5000, 0.5000).

As for the calculated formation energy: -0.03 eV/atom. The calculation puts the offset from the most stable computed form at 0.216 eV/atom. As for the total energy: -0.1238 Ha/atom.



This record from Alexandria describes a relaxed Be2CuNi2 crystal. The functional is PBE.

The space group is P4/mbm (No. 127) and the conventional cell measures 6.1449, 6.1449 and 2.5629 Å, with angles of 90.00, 90.00 and 90.00 degrees. Symmetry generates all atoms from Be at (0.1302, 0.3698, 0.0000), Cu at (0.0000, 0.0000, 0.0000) and Ni at (0.1632, 0.6632, 0.5000).

As for the calculated formation energy: -0.26 eV/atom. The calculation puts the offset from the most stable computed form at 0.000 eV/atom. As for the total energy: -0.1796 Ha/atom.



This record from Alexandria describes a relaxed TbGa6Ir3 crystal. The functional is PBE.

The space group is P2_1/m (No. 11) and the conventional cell measures 8.3018, 4.2267 and 9.8397 Å, with angles of 90.00, 96.93 and 90.00 degrees. Symmetry generates all atoms from Tb at (0.0609, 0.2500, 0.2774), Ga at (0.1297, 0.7500, 0.0255), Ga at (0.1307, 0.2500, 0.5973), Ga at (0.3113, 0.7500, 0.7646), Ga at (0.3146, 0.7500, 0.2632), Ga at (0.4321, 0.2500, 0.4281), Ga at (0.4580, 0.2500, 0.9090), Ir at (0.1521, 0.2500, 0.8696), Ir at (0.2474, 0.7500, 0.5017) and Ir at (0.3769, 0.2500, 0.1468).

As for the calculated formation energy: -0.54 eV/atom. As for the total energy: -0.2012 Ha/atom.



This record from Alexandria describes a relaxed NaLa2CoPb crystal. The functional is PBE.

The space group is P4/mmm (No. 123) and the conventional cell measures 5.2261, 5.2261 and 5.2917 Å, with angles of 90.00, 90.00 and 90.00 degrees. Symmetry generates all atoms from Na at (0.0000, 0.0000, 0.0000), La at (0.0000, 0.5000, 0.5000), Co at (0.0000, 0.0000, 0.5000) and Pb at (0.5000, 0.5000, 0.0000).

As for the calculated formation energy: -0.10 eV/atom. The calculation puts the offset from the most stable computed form at 0.036 eV/atom. As for the total energy: -0.1654 Ha/atom.



no.,total magnetization (μB per cell)
1,3.035
2,3.889
3,0.000
4,0.000
5,0.000
6,0.000
7,0.000
8,0.000